[1]
The following is a PBE calculation of Pm6Pd2O after structural relaxation, from Alexandria.

Results
electronic total energy	-0.21500	hartree per atom
raw formation energy	-978.5	meV per atom
space group	P2_1/c
Fermi-level density of states	0.9641	states/eV/atom
total magnetic moment	0.0000	μB per atom

Unit cell a=6.5715 b=7.2078 c=11.8959 alpha=90.00 beta=122.80 gamma=90.00
Atoms (fractional coordinates):
Pm 0.1106 0.0278 0.2416
Pm 0.1106 0.4722 0.7416
Pm 0.2284 0.6885 0.0594
Pm 0.2284 0.8115 0.5594
Pm 0.3771 0.1755 0.0586
Pm 0.3771 0.3245 0.5586
Pm 0.6229 0.6755 0.4414
Pm 0.6229 0.8245 0.9414
Pm 0.7716 0.1885 0.4406
Pm 0.7716 0.3115 0.9406
Pm 0.8894 0.5278 0.2584
Pm 0.8894 0.9722 0.7584
Pd 0.3126 0.1063 0.7499
Pd 0.3126 0.3937 0.2499
Pd 0.6874 0.6063 0.7501
Pd 0.6874 0.8937 0.2501
O 0.0000 0.0000 0.0000
O 0.0000 0.5000 0.5000

=====

[2]
The following is a PBE calculation of PmPdO4 after structural relaxation, from Alexandria.

Results
distance to the lowest polymorph of the same formula	37	meV per atom
electronic total energy	-0.23501	hartree per atom
raw formation energy	-1432.2	meV per atom
space group	C2/c
Fermi-level density of states	0.3516	states/eV/atom
total magnetic moment	0.0000	μB per atom

Unit cell a=5.6749 b=5.6749 c=6.1671 alpha=104.32 beta=104.32 gamma=109.11
Atoms (fractional coordinates):
Pm 0.1436 0.8564 0.7500
Pm 0.8564 0.1436 0.2500
Pd 0.4962 0.5038 0.2500
Pd 0.5038 0.4962 0.7500
O 0.1401 0.2087 0.6290
O 0.2087 0.1401 0.1290
O 0.3266 0.6165 0.4908
O 0.3835 0.6734 0.0092
O 0.6165 0.3266 0.9908
O 0.6734 0.3835 0.5092
O 0.7913 0.8599 0.8710
O 0.8599 0.7913 0.3710

=====

[3]
The following is a PBE calculation of Pm3PdO6 after structural relaxation, from Alexandria.

Results
distance to the lowest polymorph of the same formula	0	meV per atom
electronic total energy	-0.27641	hartree per atom
raw formation energy	-2602.0	meV per atom
space group	R-3
total magnetic moment	0.1000	μB per atom

Unit cell a=6.8167 b=6.8167 c=6.8167 alpha=93.11 beta=93.11 gamma=93.11
Atoms (fractional coordinates):
Pm 0.0645 0.7543 0.5730
Pm 0.2457 0.4270 0.9355
Pm 0.4270 0.9355 0.2457
Pm 0.5730 0.0645 0.7543
Pm 0.7543 0.5730 0.0645
Pm 0.9355 0.2457 0.4270
Pd 0.0000 0.0000 0.0000
Pd 0.5000 0.5000 0.5000
O 0.0389 0.7088 0.9155
O 0.0845 0.9611 0.2912
O 0.1789 0.4371 0.6003
O 0.2912 0.0845 0.9611
O 0.3997 0.8211 0.5629
O 0.4371 0.6003 0.1789
O 0.5629 0.3997 0.8211
O 0.6003 0.1789 0.4371
O 0.7088 0.9155 0.0389
O 0.8211 0.5629 0.3997
O 0.9155 0.0389 0.7088
O 0.9611 0.2912 0.0845

=====

[4]
The following is a PBE calculation of PmPdO3 after structural relaxation, from Alexandria.

Results
electronic total energy	-0.25214	hartree per atom
raw formation energy	-1897.4	meV per atom
space group	C2/c
total magnetic moment	0.0000	μB per atom

Unit cell a=6.3290 b=6.3290 c=10.2077 alpha=118.27 beta=118.27 gamma=49.90
Atoms (fractional coordinates):
Pm 0.2374 0.2418 0.1308
Pm 0.2418 0.2374 0.6308
Pm 0.7582 0.7626 0.3692
Pm 0.7626 0.7582 0.8692
Pd 0.0006 0.9994 0.7500
Pd 0.5000 0.5000 0.0000
Pd 0.5000 0.5000 0.5000
Pd 0.9994 0.0006 0.2500
O 0.1593 0.6680 0.3251
O 0.1615 0.6656 0.8238
O 0.2990 0.3030 0.9495
O 0.3030 0.2990 0.4495
O 0.3320 0.8407 0.1749
O 0.3344 0.8385 0.6762
O 0.6656 0.1615 0.3238
O 0.6680 0.1593 0.8251
O 0.6970 0.7010 0.5505
O 0.7010 0.6970 0.0505
O 0.8385 0.3344 0.1762
O 0.8407 0.3320 0.6749

=====

[5]
The following is a PBE calculation of PmPd3O4 after structural relaxation, from Alexandria.

Results
electronic total energy	-0.23272	hartree per atom
raw formation energy	-1312.5	meV per atom
space group	Pm-3n
Fermi-level density of states	0.3178	states/eV/atom
total magnetic moment	0.0000	μB per atom

Unit cell a=5.9227 b=5.9227 c=5.9227 alpha=90.00 beta=90.00 gamma=90.00
Atoms (fractional coordinates):
Pm 0.0000 0.0000 0.0000
Pm 0.5000 0.5000 0.5000
Pd 0.0000 0.2500 0.5000
Pd 0.0000 0.7500 0.5000
Pd 0.2500 0.5000 0.0000
Pd 0.5000 0.0000 0.2500
Pd 0.5000 0.0000 0.7500
Pd 0.7500 0.5000 0.0000
O 0.2500 0.2500 0.2500
O 0.2500 0.2500 0.7500
O 0.2500 0.7500 0.2500
O 0.2500 0.7500 0.7500
O 0.7500 0.2500 0.2500
O 0.7500 0.2500 0.7500
O 0.7500 0.7500 0.2500
O 0.7500 0.7500 0.7500

=====

[6]
The following is a PBE calculation of Pm3PdO7 after structural relaxation, from Alexandria.

Results
electronic total energy	-0.26965	hartree per atom
raw formation energy	-2414.6	meV per atom
space group	Cmcm
Fermi-level density of states	0.8166	states/eV/atom
total magnetic moment	0.0724	μB per atom

Unit cell a=6.5886 b=6.5886 c=7.5579 alpha=90.00 beta=90.00 gamma=68.94
Atoms (fractional coordinates):
Pm 0.0000 0.0000 0.0000
Pm 0.0000 0.0000 0.5000
Pm 0.0839 0.4754 0.7500
Pm 0.4754 0.0839 0.2500
Pm 0.5246 0.9161 0.7500
Pm 0.9161 0.5246 0.2500
Pd 0.5000 0.5000 0.0000
Pd 0.5000 0.5000 0.5000
O 0.1075 0.1571 0.2500
O 0.1571 0.1075 0.7500
O 0.1789 0.5653 0.0393
O 0.1789 0.5653 0.4607
O 0.4008 0.5992 0.7500
O 0.4347 0.8211 0.0393
O 0.4347 0.8211 0.4607
O 0.5653 0.1789 0.5393
O 0.5653 0.1789 0.9607
O 0.5992 0.4008 0.2500
O 0.8211 0.4347 0.5393
O 0.8211 0.4347 0.9607
O 0.8429 0.8925 0.2500
O 0.8925 0.8429 0.7500

=====

[7]
The following is a PBE calculation of Pm3PdO after structural relaxation, from Alexandria.

Results
distance to the lowest polymorph of the same formula	0	meV per atom
electronic total energy	-0.22841	hartree per atom
raw formation energy	-1334.8	meV per atom
space group	P2/m
Fermi-level density of states	0.6960	states/eV/atom
total magnetic moment	0.0000	μB per atom

Unit cell a=7.6061 b=3.7910 c=8.4276 alpha=90.00 beta=106.92 gamma=90.00
Atoms (fractional coordinates):
Pm 0.0825 0.0000 0.3372
Pm 0.2967 0.0000 0.0344
Pm 0.3367 0.5000 0.6910
Pm 0.6633 0.5000 0.3090
Pm 0.7033 0.0000 0.9656
Pm 0.9175 0.0000 0.6628
Pd 0.0000 0.5000 0.0000
Pd 0.5000 0.0000 0.5000
O 0.0000 0.5000 0.5000
O 0.5000 0.5000 0.0000

=====

[8]
The following is a PBE calculation of Pm3PdO6 after structural relaxation, from Alexandria.

Results
distance to the lowest polymorph of the same formula	56	meV per atom
electronic total energy	-0.27433	hartree per atom
raw formation energy	-2545.5	meV per atom
space group	P2_1/c
Fermi-level density of states	0.1047	states/eV/atom
total magnetic moment	0.1008	μB per atom

Unit cell a=5.6792 b=5.8601 c=10.2071 alpha=90.00 beta=118.82 gamma=90.00
Atoms (fractional coordinates):
Pm 0.0000 0.0000 0.0000
Pm 0.0000 0.5000 0.5000
Pm 0.2942 0.0562 0.7580
Pm 0.2942 0.4438 0.2580
Pm 0.7058 0.5562 0.7420
Pm 0.7058 0.9438 0.2420
Pd 0.5000 0.0000 0.5000
Pd 0.5000 0.5000 0.0000
O 0.0900 0.0824 0.2446
O 0.0900 0.4176 0.7446
O 0.3131 0.7028 0.0874
O 0.3131 0.7972 0.5874
O 0.3836 0.2195 0.0758
O 0.3836 0.2805 0.5758
O 0.6164 0.7195 0.4242
O 0.6164 0.7805 0.9242
O 0.6869 0.2028 0.4126
O 0.6869 0.2972 0.9126
O 0.9100 0.5824 0.2554
O 0.9100 0.9176 0.7554

=====

[9]
The following is a PBE calculation of Pm3PdO after structural relaxation, from Alexandria.

Results
distance to the lowest polymorph of the same formula	39	meV per atom
electronic total energy	-0.22699	hartree per atom
raw formation energy	-1296.1	meV per atom
space group	Pm-3m
Fermi-level density of states	1.0378	states/eV/atom
total magnetic moment	0.0000	μB per atom

Unit cell a=4.8529 b=4.8529 c=4.8529 alpha=90.00 beta=90.00 gamma=90.00
Atoms (fractional coordinates):
Pm 0.0000 0.0000 0.5000
Pm 0.0000 0.5000 0.0000
Pm 0.5000 0.0000 0.0000
Pd 0.5000 0.5000 0.5000
O 0.0000 0.0000 0.0000

=====

[10]
The following is a PBE calculation of PmPr2PdO5 after structural relaxation, from Alexandria.

Results
electronic total energy	-0.26986	hartree per atom
raw formation energy	-2421.7	meV per atom
space group	P4/mbm
Fermi-level density of states	0.0607	states/eV/atom
total magnetic moment	0.1111	μB per atom

Unit cell a=6.6771 b=6.6771 c=5.9711 alpha=90.00 beta=90.00 gamma=90.00
Atoms (fractional coordinates):
Pm 0.0000 0.0000 0.0000
Pm 0.5000 0.5000 0.0000
Pr 0.1634 0.3366 0.5000
Pr 0.3366 0.8366 0.5000
Pr 0.6634 0.1634 0.5000
Pr 0.8366 0.6634 0.5000
Pd 0.0000 0.5000 0.0000
Pd 0.5000 0.0000 0.0000
O 0.0000 0.0000 0.5000
O 0.1668 0.6668 0.2368
O 0.1668 0.6668 0.7632
O 0.3332 0.1668 0.2368
O 0.3332 0.1668 0.7632
O 0.5000 0.5000 0.5000
O 0.6668 0.8332 0.2368
O 0.6668 0.8332 0.7632
O 0.8332 0.3332 0.2368
O 0.8332 0.3332 0.7632

=====

[11]
The following is a PBE calculation of RbPmPdO4 after structural relaxation, from Alexandria.

Results
electronic total energy	-0.21647	hartree per atom
raw formation energy	-1498.6	meV per atom
space group	P2_1/m
total magnetic moment	0.0000	μB per atom

Unit cell a=6.0246 b=5.6877 c=7.8701 alpha=90.00 beta=106.92 gamma=90.00
Atoms (fractional coordinates):
Rb 0.1290 0.2500 0.1144
Rb 0.8710 0.7500 0.8856
Pm 0.1974 0.7500 0.4765
Pm 0.8026 0.2500 0.5235
Pd 0.3779 0.2500 0.7190
Pd 0.6221 0.7500 0.2810
O 0.1224 0.0203 0.6906
O 0.1224 0.4797 0.6906
O 0.2929 0.7500 0.2011
O 0.3919 0.2500 0.4707
O 0.6081 0.7500 0.5293
O 0.7071 0.2500 0.7989
O 0.8776 0.5203 0.3094
O 0.8776 0.9797 0.3094

=====

[12]
The following is a PBE calculation of Rb3Pm2PdO6 after structural relaxation, from Alexandria.

Results
electronic total energy	-0.21480	hartree per atom
raw formation energy	-1899.6	meV per atom
space group	C2/m
total magnetic moment	0.0810	μB per atom

Unit cell a=6.0661 b=6.0661 c=6.9293 alpha=99.57 beta=99.57 gamma=117.97
Atoms (fractional coordinates):
Rb 0.0000 0.0000 0.0000
Rb 0.3366 0.6634 0.0000
Rb 0.6634 0.3366 0.0000
Pm 0.1652 0.8348 0.5000
Pm 0.8348 0.1652 0.5000
Pd 0.5000 0.5000 0.5000
O 0.1324 0.4387 0.3315
O 0.2117 0.2117 0.7059
O 0.4387 0.1324 0.3315
O 0.5613 0.8676 0.6685
O 0.7883 0.7883 0.2941
O 0.8676 0.5613 0.6685

=====

[13]
The following is a PBE calculation of Pm2PdRhO6 after structural relaxation, from Alexandria.

Results
electronic total energy	-0.26351	hartree per atom
raw formation energy	-1991.0	meV per atom
space group	P2_1/c
Fermi-level density of states	0.0836	states/eV/atom
total magnetic moment	0.1027	μB per atom

Unit cell a=5.4710 b=6.0604 c=9.3679 alpha=90.00 beta=125.60 gamma=90.00
Atoms (fractional coordinates):
Pm 0.2219 0.0857 0.2506
Pm 0.2219 0.4143 0.7506
Pm 0.7781 0.5857 0.2494
Pm 0.7781 0.9143 0.7494
Pd 0.0000 0.0000 0.5000
Pd 0.0000 0.5000 0.0000
Rh 0.5000 0.0000 0.0000
Rh 0.5000 0.5000 0.5000
O 0.1305 0.1789 0.9464
O 0.1305 0.3211 0.4464
O 0.2749 0.6999 0.9420
O 0.2749 0.8001 0.4420
O 0.3768 0.0466 0.7498
O 0.3768 0.4534 0.2498
O 0.6232 0.5466 0.7502
O 0.6232 0.9534 0.2502
O 0.7251 0.1999 0.5580
O 0.7251 0.3001 0.0580
O 0.8695 0.6789 0.5536
O 0.8695 0.8211 0.0536

=====

[14]
The following is a PBE calculation of Pm2ScPdO6 after structural relaxation, from Alexandria.

Results
electronic total energy	-0.28308	hartree per atom
raw formation energy	-2625.6	meV per atom
space group	C2
Fermi-level density of states	0.1467	states/eV/atom
total magnetic moment	0.1008	μB per atom

Unit cell a=5.7836 b=5.7836 c=5.5774 alpha=117.85 beta=117.85 gamma=57.82
Atoms (fractional coordinates):
Pm 0.2469 0.2469 0.2200
Pm 0.7531 0.7531 0.7800
Sc 0.9792 0.0208 0.5000
Pd 0.4809 0.5191 0.0000
O 0.1615 0.3022 0.6101
O 0.1637 0.6906 0.1827
O 0.3094 0.8363 0.8173
O 0.6579 0.1938 0.1643
O 0.6978 0.8385 0.3899
O 0.8062 0.3421 0.8357

=====

[15]
The following is a PBE calculation of PmSc4Pd3O12 after structural relaxation, from Alexandria.

Results
electronic total energy	-0.27540	hartree per atom
raw formation energy	-2236.4	meV per atom
space group	Im-3
Fermi-level density of states	0.5997	states/eV/atom
total magnetic moment	0.1379	μB per atom

Unit cell a=6.7936 b=6.7936 c=6.7936 alpha=109.47 beta=109.47 gamma=109.47
Atoms (fractional coordinates):
Pm 0.0000 0.0000 0.0000
Sc 0.0000 0.0000 0.5000
Sc 0.0000 0.5000 0.0000
Sc 0.5000 0.0000 0.0000
Sc 0.5000 0.5000 0.5000
Pd 0.0000 0.5000 0.5000
Pd 0.5000 0.0000 0.5000
Pd 0.5000 0.5000 0.0000
O 0.1349 0.3015 0.8335
O 0.1665 0.4680 0.3015
O 0.1665 0.8651 0.6985
O 0.3015 0.1665 0.4680
O 0.3015 0.8335 0.1349
O 0.4680 0.3015 0.1665
O 0.5320 0.6985 0.8335
O 0.6985 0.1665 0.8651
O 0.6985 0.8335 0.5320
O 0.8335 0.1349 0.3015
O 0.8335 0.5320 0.6985
O 0.8651 0.6985 0.1665

=====

[16]
The following is a PBE calculation of PmPdSe2O8 after structural relaxation, from Alexandria.

Results
electronic total energy	-0.21178	hartree per atom
raw formation energy	-1048.1	meV per atom
space group	P-3m1
Fermi-level density of states	0.2556	states/eV/atom
total magnetic moment	0.0833	μB per atom

Unit cell a=5.6026 b=5.6026 c=7.0609 alpha=90.00 beta=90.00 gamma=120.00
Atoms (fractional coordinates):
Pm 0.0000 0.0000 0.0000
Pd 0.0000 0.0000 0.5000
Se 0.3333 0.6667 0.1927
Se 0.6667 0.3333 0.8073
O 0.1659 0.3318 0.2650
O 0.1659 0.8341 0.2650
O 0.3318 0.1659 0.7350
O 0.3333 0.6667 0.9557
O 0.6667 0.3333 0.0443
O 0.6682 0.8341 0.2650
O 0.8341 0.1659 0.7350
O 0.8341 0.6682 0.7350

=====

[17]
The following is a PBE calculation of PmPdSe2O6 after structural relaxation, from Alexandria.

Results
electronic total energy	-0.21777	hartree per atom
raw formation energy	-1259.8	meV per atom
space group	R-3
Fermi-level density of states	0.5908	states/eV/atom
total magnetic moment	0.1000	μB per atom

Unit cell a=7.0004 b=7.0004 c=7.0004 alpha=44.76 beta=44.76 gamma=44.76
Atoms (fractional coordinates):
Pm 0.0000 0.0000 0.0000
Pd 0.5000 0.5000 0.5000
Se 0.2173 0.2173 0.2173
Se 0.7827 0.7827 0.7827
O 0.0382 0.4496 0.7411
O 0.2589 0.9618 0.5504
O 0.4496 0.7411 0.0382
O 0.5504 0.2589 0.9618
O 0.7411 0.0382 0.4496
O 0.9618 0.5504 0.2589

=====

[18]
The following is a PBE calculation of PmTaPdO6 after structural relaxation, from Alexandria.

Results
electronic total energy	-0.28737	hartree per atom
raw formation energy	-2092.4	meV per atom
space group	P4_2nm
total magnetic moment	0.0000	μB per atom

Unit cell a=4.9255 b=4.9255 c=9.7926 alpha=90.00 beta=90.00 gamma=90.00
Atoms (fractional coordinates):
Pm 0.0000 0.0000 0.0000
Pm 0.5000 0.5000 0.5000
Ta 0.0000 0.0000 0.6657
Ta 0.5000 0.5000 0.1657
Pd 0.0000 0.0000 0.3265
Pd 0.5000 0.5000 0.8265
O 0.1710 0.1710 0.4952
O 0.2061 0.2061 0.8040
O 0.2116 0.2116 0.1769
O 0.2884 0.7116 0.6769
O 0.2939 0.7061 0.3040
O 0.3290 0.6710 0.9952
O 0.6710 0.3290 0.9952
O 0.7061 0.2939 0.3040
O 0.7116 0.2884 0.6769
O 0.7884 0.7884 0.1769
O 0.7939 0.7939 0.8040
O 0.8290 0.8290 0.4952